1.
The following is a SCAN calculation of Li4CrTeW2O12 at its PBEsol-relaxed geometry, from the Alexandria database.

a b c (Å): 5.089 5.385 14.864
angles (deg): 94.58 90.23 90.03
Fractional coordinates of all 40 atoms:
Li1 0.000 0.000 0.000
Li2 0.001 0.038 0.495
Li3 0.009 0.956 0.289
Li4 0.013 0.909 0.799
Li5 0.497 0.578 0.997
Li6 0.502 0.558 0.496
Li7 0.509 0.560 0.766
Li8 0.512 0.580 0.262
Cr1 0.506 0.977 0.399
Cr2 0.513 0.985 0.898
Te1 0.002 0.479 0.646
Te2 0.009 0.488 0.145
W1 0.008 0.472 0.898
W2 0.014 0.472 0.395
W3 0.499 0.991 0.149
W4 0.501 0.985 0.648
O1 0.136 0.485 0.768
O2 0.145 0.470 0.280
O3 0.185 0.102 0.110
O4 0.185 0.157 0.617
O5 0.206 0.769 0.432
O6 0.217 0.774 0.921
O7 0.299 0.273 0.432
O8 0.310 0.287 0.925
O9 0.324 0.660 0.617
O10 0.347 0.638 0.119
O11 0.387 0.942 0.274
O12 0.401 0.971 0.770
O13 0.617 0.971 0.529
O14 0.629 0.973 0.027
O15 0.643 0.284 0.192
O16 0.685 0.295 0.682
O17 0.711 0.671 0.377
O18 0.720 0.683 0.866
O19 0.811 0.172 0.377
O20 0.815 0.789 0.683
O21 0.820 0.795 0.187
O22 0.824 0.174 0.870
O23 0.868 0.501 0.014
O24 0.870 0.468 0.526

Values from the calculation:
- SG: No. 1
- Energy relative to the elements, uncorrected: -42.38 eV per formula unit
- Magnetic moment: 5.91 μB per cell
- Total DFT energy (no corrections): -16.086 eV/atom

2.
The following is a SCAN calculation of Li24TiCr11O36 at its PBEsol-relaxed geometry, from the Alexandria database.

a b c (Å): 8.545 8.545 9.540
angles (deg): 98.25 98.25 59.85
Fractional coordinates of all 72 atoms:
Li1 0.000 0.000 0.000
Li2 0.077 0.755 0.750
Li3 0.082 0.085 0.751
Li4 0.090 0.409 0.750
Li5 0.167 0.167 0.500
Li6 0.245 0.923 0.250
Li7 0.251 0.249 0.250
Li8 0.257 0.575 0.249
Li9 0.333 0.333 0.999
Li10 0.409 0.088 0.748
Li11 0.416 0.418 0.748
Li12 0.425 0.743 0.751
Li13 0.502 0.498 0.500
Li14 0.576 0.256 0.250
Li15 0.582 0.584 0.252
Li16 0.591 0.910 0.250
Li17 0.667 0.667 0.001
Li18 0.744 0.424 0.750
Li19 0.751 0.749 0.750
Li20 0.758 0.076 0.749
Li21 0.833 0.833 0.500
Li22 0.912 0.591 0.252
Li23 0.915 0.918 0.249
Li24 0.924 0.242 0.251
Ti1 0.168 0.832 0.500
Cr1 0.001 0.666 0.000
Cr2 0.167 0.498 0.500
Cr3 0.333 0.667 0.000
Cr4 0.334 0.999 0.000
Cr5 0.501 0.166 0.499
Cr6 0.502 0.833 0.500
Cr7 0.666 0.001 0.999
Cr8 0.667 0.333 0.000
Cr9 0.831 0.169 0.500
Cr10 0.834 0.499 0.501
Cr11 0.999 0.334 0.001
O1 0.033 0.038 0.383
O2 0.035 0.393 0.389
O3 0.057 0.699 0.385
O4 0.106 0.465 0.112
O5 0.132 0.772 0.112
O6 0.133 0.132 0.114
O7 0.201 0.201 0.886
O8 0.202 0.560 0.888
O9 0.228 0.868 0.888
O10 0.277 0.626 0.615
O11 0.299 0.297 0.614
O12 0.301 0.943 0.615
O13 0.369 0.367 0.384
O14 0.374 0.723 0.385
O15 0.394 0.035 0.387
O16 0.440 0.798 0.112
O17 0.465 0.106 0.112
O18 0.466 0.465 0.114
O19 0.535 0.534 0.886
O20 0.535 0.894 0.888
O21 0.561 0.201 0.887
O22 0.607 0.965 0.611
O23 0.632 0.273 0.612
O24 0.633 0.631 0.616
O25 0.701 0.060 0.387
O26 0.703 0.701 0.386
O27 0.727 0.368 0.388
O28 0.773 0.132 0.112
O29 0.799 0.439 0.113
O30 0.799 0.799 0.114
O31 0.868 0.227 0.888
O32 0.868 0.867 0.886
O33 0.894 0.535 0.888
O34 0.940 0.299 0.613
O35 0.962 0.967 0.617
O36 0.965 0.606 0.613

Values from the calculation:
- SG: No. 5
- Energy relative to the elements, uncorrected: -170.08 eV per formula unit
- Magnetic moment: 22.00 μB per cell
- Total DFT energy (no corrections): -9.306 eV/atom

3.
The following is a SCAN calculation of Li2TiCrO4 at its PBEsol-relaxed geometry, from the Alexandria database.

a b c (Å): 5.015 5.015 5.015
angles (deg): 132.62 132.62 69.25
Fractional coordinates of all 8 atoms:
Li1 0.000 0.000 0.000
Li2 0.750 0.250 0.500
Ti1 0.250 0.750 0.500
Cr1 0.500 0.500 0.000
O1 0.006 0.506 0.500
O2 0.255 0.255 0.000
O3 0.494 0.994 0.500
O4 0.745 0.745 0.000

Values from the calculation:
- SG: No. 119
- Energy relative to the elements, uncorrected: -21.40 eV per formula unit
- ΔE to the lowest computed polymorph: 0.04 eV per formula unit
- Magnetic moment: 2.02 μB per cell
- Total DFT energy (no corrections): -10.690 eV/atom

Which of these has the highest total DFT energy (no corrections)?
Li24TiCr11O36

Look up the total DFT energy (no corrections) of the third one.
-10.690 eV/atom